[1]
This record from the Alexandria database describes crystalline Cr3In2 at its relaxed geometry. The functional is GGA-PBEsol.

## Properties
* calculated total energy: -32.11 eV per cell
* D(E_F): 3.2 states/eV per cell

Cell lengths 4.512, 4.512, 5.609 Å; angles 90.00, 90.00, 120.00 degrees
Sites, in units of the cell vectors:
Cr1 0.000 0.000 0.000
Cr2 0.333 0.667 0.340
Cr3 0.667 0.333 0.660
In1 0.333 0.667 0.825
In2 0.667 0.333 0.175

[2]
This record from the Alexandria database describes crystalline Ni2SbAs at its relaxed geometry. The functional is GGA-PBEsol.

## Properties
* D(E_F): 2.8 states/eV per cell
* formation energy (no corrections): -0.0943 eV/atom

Cell lengths 3.113, 3.113, 6.712 Å; angles 90.00, 90.00, 90.00 degrees
Sites, in units of the cell vectors:
Ni1 0.000 0.000 0.000
Ni2 0.500 0.500 0.200
Sb1 0.000 0.000 0.408
As1 0.500 0.500 0.843

[3]
This record from the Alexandria database describes crystalline MgSbPbI2 at its relaxed geometry. The functional is GGA-PBEsol.

## Properties
* D(E_F): 3.8 states/eV per cell
* formation energy (no corrections): 0.2936 eV/atom

Cell lengths 5.983, 5.983, 5.945 Å; angles 90.00, 90.00, 90.00 degrees
Sites, in units of the cell vectors:
Mg1 0.000 0.000 0.000
Sb1 0.500 0.500 0.000
Pb1 0.500 0.500 0.500
I1 0.000 0.500 0.500
I2 0.500 0.000 0.500

[4]
This record from the Alexandria database describes crystalline Cd2BiPb2 at its relaxed geometry. The functional is GGA-PBEsol.

## Properties
* D(E_F): 4.2 states/eV per cell
* energy above the most stable polymorph in this dataset: 0.00 kcal/mol of atoms

Cell lengths 4.107, 4.107, 16.833 Å; angles 90.00, 90.00, 90.00 degrees
Sites, in units of the cell vectors:
Cd1 0.000 0.500 0.250
Cd2 0.000 0.500 0.750
Cd3 0.500 0.000 0.250
Cd4 0.500 0.000 0.750
Bi1 0.000 0.000 0.000
Bi2 0.500 0.500 0.500
Pb1 0.000 0.000 0.400
Pb2 0.000 0.000 0.600
Pb3 0.500 0.500 0.100
Pb4 0.500 0.500 0.900

[5]
This record from the Alexandria database describes crystalline HfScPCl2 at its relaxed geometry. The functional is GGA-PBEsol.

## Properties
* D(E_F): 4.5 states/eV per cell
* formation energy (no corrections): -0.6148 eV/atom

Cell lengths 4.742, 4.742, 5.138 Å; angles 90.00, 90.00, 90.00 degrees
Sites, in units of the cell vectors:
Hf1 0.000 0.000 0.000
Sc1 0.500 0.500 0.500
P1 0.000 0.000 0.500
Cl1 0.000 0.500 0.000
Cl2 0.500 0.000 0.000

[6]
This record from the Alexandria database describes crystalline LiCu2 at its relaxed geometry. The functional is GGA-PBEsol.

## Properties
* calculated total energy: -42.53 eV per cell
* D(E_F): 4.1 states/eV per cell

Cell lengths 9.462, 2.514, 6.130 Å; angles 90.00, 105.97, 90.00 degrees
Sites, in units of the cell vectors:
Li1 0.000 0.000 0.000
Li2 0.171 0.500 0.350
Li3 0.500 0.500 0.000
Li4 0.671 0.000 0.350
Cu1 0.052 0.000 0.623
Cu2 0.230 0.500 0.951
Cu3 0.331 0.000 0.674
Cu4 0.390 0.000 0.290
Cu5 0.552 0.500 0.623
Cu6 0.730 0.000 0.951
Cu7 0.831 0.500 0.674
Cu8 0.890 0.500 0.290

[7]
This record from the Alexandria database describes crystalline TlTeRuN2 at its relaxed geometry. The functional is GGA-PBEsol.

## Properties
* D(E_F): 6.2 states/eV per cell
* formation energy (no corrections): 2.3152 eV/atom

Cell lengths 4.090, 4.090, 6.268 Å; angles 90.00, 90.00, 90.00 degrees
Sites, in units of the cell vectors:
Tl1 0.000 0.000 0.000
Te1 0.000 0.000 0.500
Ru1 0.500 0.500 0.500
N1 0.000 0.500 0.000
N2 0.500 0.000 0.000

[8]
This record from the Alexandria database describes crystalline MgZr3I at its relaxed geometry. The functional is GGA-PBEsol.

## Properties
* D(E_F): 7.3 states/eV per cell
* formation energy (no corrections): 1.0992 eV/atom

Cell lengths 5.076, 5.076, 5.076 Å; angles 90.00, 90.00, 90.00 degrees
Sites, in units of the cell vectors:
Mg1 0.000 0.000 0.000
Zr1 0.000 0.000 0.500
Zr2 0.000 0.500 0.000
Zr3 0.500 0.000 0.000
I1 0.500 0.500 0.500

[9]
This record from the Alexandria database describes crystalline Rb4Zr6CCl18 at its relaxed geometry. The functional is GGA-PBEsol.

## Properties
* formation energy (no corrections): -1.8922 eV/atom

Cell lengths 10.149, 10.149, 9.777 Å; angles 102.64, 102.64, 117.70 degrees
Sites, in units of the cell vectors:
Rb1 0.058 0.733 0.686
Rb2 0.267 0.942 0.314
Rb3 0.733 0.058 0.686
Rb4 0.942 0.267 0.314
Zr1 0.264 0.449 0.849
Zr2 0.375 0.375 0.143
Zr3 0.449 0.264 0.849
Zr4 0.551 0.736 0.151
Zr5 0.625 0.625 0.857
Zr6 0.736 0.551 0.151
C1 0.500 0.500 0.000
Cl1 0.006 0.612 0.329
Cl2 0.099 0.306 0.989
Cl3 0.180 0.180 0.668
Cl4 0.232 0.232 0.300
Cl5 0.295 0.705 0.000
Cl6 0.306 0.099 0.989
Cl7 0.377 0.582 0.678
Cl8 0.388 0.994 0.671
Cl9 0.418 0.623 0.322
Cl10 0.582 0.377 0.678
Cl11 0.612 0.006 0.329
Cl12 0.623 0.418 0.322
Cl13 0.694 0.901 0.011
Cl14 0.705 0.295 0.000
Cl15 0.768 0.768 0.700
Cl16 0.820 0.820 0.332
Cl17 0.901 0.694 0.011
Cl18 0.994 0.388 0.671

[10]
This record from the Alexandria database describes crystalline CoRh4 at its relaxed geometry. The functional is GGA-PBEsol.

## Properties
* D(E_F): 13.2 states/eV per cell
* energy above the most stable polymorph in this dataset: 0.17 kcal/mol of atoms

Cell lengths 2.644, 3.702, 13.167 Å; angles 90.00, 90.00, 90.00 degrees
Sites, in units of the cell vectors:
Co1 0.000 0.000 0.000
Co2 0.500 0.500 0.500
Rh1 0.000 0.000 0.199
Rh2 0.000 0.000 0.404
Rh3 0.000 0.000 0.596
Rh4 0.000 0.000 0.801
Rh5 0.500 0.500 0.096
Rh6 0.500 0.500 0.301
Rh7 0.500 0.500 0.699
Rh8 0.500 0.500 0.904

[11]
This record from the Alexandria database describes crystalline LaRu2 at its relaxed geometry. The functional is GGA-PBEsol.

## Properties
* calculated total energy: -51.74 eV per cell
* D(E_F): 11.0 states/eV per cell

Cell lengths 5.369, 5.369, 5.369 Å; angles 60.00, 60.00, 60.00 degrees
Sites, in units of the cell vectors:
La1 0.125 0.125 0.125
La2 0.875 0.875 0.875
Ru1 0.000 0.500 0.500
Ru2 0.500 0.000 0.500
Ru3 0.500 0.500 0.000
Ru4 0.500 0.500 0.500

[12]
This record from the Alexandria database describes crystalline V3FeSb2P6O24 at its relaxed geometry. The functional is GGA-PBEsol.

## Properties
* D(E_F): 21.5 states/eV per cell
* formation energy (no corrections): -2.0248 eV/atom

Cell lengths 8.744, 8.744, 8.744 Å; angles 58.83, 58.83, 58.83 degrees
Sites, in units of the cell vectors:
V1 0.000 0.000 0.000
V2 0.209 0.209 0.209
V3 0.502 0.502 0.502
Fe1 0.703 0.703 0.703
Sb1 0.354 0.354 0.354
Sb2 0.846 0.846 0.846
P1 0.108 0.818 0.392
P2 0.314 0.607 0.898
P3 0.392 0.108 0.818
P4 0.607 0.898 0.314
P5 0.818 0.392 0.108
P6 0.898 0.314 0.607
O1 0.055 0.851 0.235
O2 0.092 0.287 0.436
O3 0.123 0.774 0.920
O4 0.164 0.976 0.356
O5 0.235 0.055 0.851
O6 0.275 0.623 0.418
O7 0.287 0.436 0.092
O8 0.350 0.556 0.737
O9 0.356 0.164 0.976
O10 0.418 0.275 0.623
O11 0.436 0.092 0.287
O12 0.473 0.650 0.879
O13 0.556 0.737 0.350
O14 0.587 0.939 0.800
O15 0.623 0.418 0.275
O16 0.650 0.879 0.473
O17 0.737 0.350 0.556
O18 0.774 0.920 0.123
O19 0.800 0.587 0.939
O20 0.851 0.235 0.055
O21 0.879 0.473 0.650
O22 0.920 0.123 0.774
O23 0.939 0.800 0.587
O24 0.976 0.356 0.164

[13]
This record from the Alexandria database describes crystalline CuAgS2 at its relaxed geometry. The functional is GGA-PBEsol.

## Properties
* D(E_F): 12.4 states/eV per cell
* formation energy (no corrections): -0.0404 eV/atom

Cell lengths 5.501, 5.501, 10.056 Å; angles 90.00, 90.00, 90.00 degrees
Sites, in units of the cell vectors:
Cu1 0.000 0.000 0.000
Cu2 0.000 0.500 0.250
Cu3 0.500 0.000 0.750
Cu4 0.500 0.500 0.500
Ag1 0.000 0.000 0.500
Ag2 0.000 0.500 0.750
Ag3 0.500 0.000 0.250
Ag4 0.500 0.500 0.000
S1 0.215 0.250 0.125
S2 0.250 0.715 0.375
S3 0.250 0.785 0.875
S4 0.285 0.250 0.625
S5 0.715 0.750 0.625
S6 0.750 0.215 0.875
S7 0.750 0.285 0.375
S8 0.785 0.750 0.125

[14]
This record from the Alexandria database describes crystalline ZrTlGaF2 at its relaxed geometry. The functional is GGA-PBEsol.

## Properties
* D(E_F): 2.4 states/eV per cell
* formation energy (no corrections): -1.6521 eV/atom

Cell lengths 4.152, 4.152, 5.698 Å; angles 90.00, 90.00, 90.00 degrees
Sites, in units of the cell vectors:
Zr1 0.000 0.000 0.000
Tl1 0.500 0.500 0.500
Ga1 0.000 0.000 0.500
F1 0.000 0.500 0.000
F2 0.500 0.000 0.000

[15]
This record from the Alexandria database describes crystalline SiSnPS2 at its relaxed geometry. The functional is GGA-PBEsol.

## Properties
* D(E_F): 2.4 states/eV per cell
* formation energy (no corrections): 0.0763 eV/atom

Cell lengths 4.519, 4.519, 4.557 Å; angles 90.00, 90.00, 90.00 degrees
Sites, in units of the cell vectors:
Si1 0.000 0.000 0.000
Sn1 0.500 0.500 0.500
P1 0.000 0.000 0.500
S1 0.000 0.500 0.000
S2 0.500 0.000 0.000

[16]
This record from the Alexandria database describes crystalline ZnAg2Au at its relaxed geometry. The functional is GGA-PBEsol.

## Properties
* calculated total energy: -24.94 eV per cell
* D(E_F): 2.0 states/eV per cell

Cell lengths 9.344, 2.902, 4.848 Å; angles 90.00, 103.28, 90.00 degrees
Sites, in units of the cell vectors:
Zn1 0.000 0.000 0.000
Zn2 0.500 0.500 0.000
Ag1 0.001 0.500 0.502
Ag2 0.241 0.500 0.259
Ag3 0.501 0.000 0.502
Ag4 0.741 0.000 0.259
Au1 0.260 0.000 0.774
Au2 0.760 0.500 0.774

[17]
This record from the Alexandria database describes crystalline TcMo2Cl at its relaxed geometry. The functional is GGA-PBEsol.

## Properties
* D(E_F): 9.5 states/eV per cell
* energy above the most stable polymorph in this dataset: 14.89 kcal/mol of atoms
* formation energy (no corrections): 0.8971 eV/atom

Cell lengths 3.611, 3.611, 9.014 Å; angles 90.00, 90.00, 90.00 degrees
Sites, in units of the cell vectors:
Tc1 0.000 0.000 0.000
Tc2 0.500 0.500 0.500
Mo1 0.000 0.000 0.500
Mo2 0.000 0.500 0.750
Mo3 0.500 0.000 0.250
Mo4 0.500 0.500 0.000
Cl1 0.000 0.500 0.250
Cl2 0.500 0.000 0.750

[18]
This record from the Alexandria database describes crystalline Y3AsSe at its relaxed geometry. The functional is GGA-PBEsol.

## Properties
* D(E_F): 6.1 states/eV per cell
* formation energy (no corrections): -0.5178 eV/atom

Cell lengths 5.215, 5.215, 5.215 Å; angles 90.00, 90.00, 90.00 degrees
Sites, in units of the cell vectors:
Y1 0.000 0.000 0.500
Y2 0.000 0.500 0.000
Y3 0.500 0.000 0.000
As1 0.500 0.500 0.500
Se1 0.000 0.000 0.000

[19]
This record from the Alexandria database describes crystalline LiYIr4 at its relaxed geometry. The functional is GGA-PBEsol.

## Properties
* calculated total energy: -50.54 eV per cell
* D(E_F): 5.9 states/eV per cell

Cell lengths 5.210, 5.210, 5.210 Å; angles 60.00, 60.00, 60.00 degrees
Sites, in units of the cell vectors:
Li1 0.000 0.000 0.000
Y1 0.250 0.250 0.250
Ir1 0.124 0.625 0.625
Ir2 0.625 0.124 0.625
Ir3 0.625 0.625 0.124
Ir4 0.625 0.625 0.625

[20]
This record from the Alexandria database describes crystalline BaRhBr2 at its relaxed geometry. The functional is GGA-PBEsol.

## Properties
* D(E_F): 2.0 states/eV per cell
* formation energy (no corrections): -0.8170 eV/atom

Cell lengths 11.630, 4.006, 5.265 Å; angles 90.00, 93.63, 90.00 degrees
Sites, in units of the cell vectors:
Ba1 0.000 0.000 0.000
Ba2 0.500 0.500 0.000
Rh1 0.200 0.500 0.813
Rh2 0.700 0.000 0.813
Br1 0.027 0.500 0.504
Br2 0.276 0.000 0.023
Br3 0.527 0.000 0.504
Br4 0.776 0.500 0.023